Density functional theory data (GGA-PBE) for crystalline YBe2Br at its relaxed geometry.

Summary:
- raw formation energy (eV/atom) = 0.0677
- calculated volume (Å³/cell) = 85
- M_tot (μB/atom) = 0.00

Unit cell a=3.228 b=3.228 c=8.126 alpha=90.00 beta=90.00 gamma=90.00
Space group P4mm (No. 99)
Symmetry-distinct sites (fractional):
Y (0.000, 0.000, 0.000) [1 per cell]
Be (0.000, 0.000, 0.342) [1 per cell]
Be (0.500, 0.500, 0.251) [1 per cell]
Br (0.500, 0.500, 0.765) [1 per cell]